# CdCuBr2, optimized geometry, DFT PBE
data_CdCuBr2
_chemical_formula_sum 'Cd1 Cu1 Br2'
_cell_length_a 4.223
_cell_length_b 3.724
_cell_length_c 7.132
_cell_angle_alpha 90.00
_cell_angle_beta 90.69
_cell_angle_gamma 90.00
_symmetry_space_group_name_H-M 'P 1 2/m 1'
_symmetry_Int_Tables_number 10
loop_
_symmetry_equiv_pos_as_xyz
'x,y,z'
'-x,-y,-z'
'-x,y,-z'
'x,-y,z'
loop_
_atom_site_label
_atom_site_type_symbol
_atom_site_fract_x
_atom_site_fract_y
_atom_site_fract_z
Cd1 Cd 0.000 0.000 0.000
Cu1 Cu 0.500 0.000 0.500
Br1 Br 0.329 0.500 0.284
# offset from the most stable computed form = 0.126 eV per atom
# formation energy without anion corrections = -0.164 eV/atom
# calculated total energy = -9.0 eV for the cell shown
# Fermi-level density of states = 1.5 states/eV/f.u.

---

# CsPO2, optimized geometry, DFT PBE
data_CsPO2
_chemical_formula_sum 'Cs4 P4 O8'
_cell_length_a 5.839
_cell_length_b 5.839
_cell_length_c 9.523
_cell_angle_alpha 90.00
_cell_angle_beta 90.00
_cell_angle_gamma 90.00
_symmetry_space_group_name_H-M 'I -4 2 d'
_symmetry_Int_Tables_number 122
_symmetry_space_group_name_Hall 'I -4 2bw'
loop_
_atom_site_label
_atom_site_type_symbol
_atom_site_fract_x
_atom_site_fract_y
_atom_site_fract_z
Cs1 Cs 0.000 0.000 0.000
P1 P 0.000 0.000 0.500
O1 O 0.035 0.250 0.625
# formation energy without anion corrections = -1.060 eV/atom
# calculated total energy = -81.7 eV for the cell shown
# Fermi-level density of states = 0.2 states/eV/f.u.

---

# NaAuS5, optimized geometry, DFT PBE
data_NaAuS5
_chemical_formula_sum 'Na2 Au2 S10'
_cell_length_a 5.710
_cell_length_b 7.630
_cell_length_c 9.480
_cell_angle_alpha 86.69
_cell_angle_beta 76.84
_cell_angle_gamma 87.26
_symmetry_space_group_name_H-M 'P -1'
_symmetry_Int_Tables_number 2
loop_
_symmetry_equiv_pos_as_xyz
'x,y,z'
'-x,-y,-z'
loop_
_atom_site_label
_atom_site_type_symbol
_atom_site_fract_x
_atom_site_fract_y
_atom_site_fract_z
Na1 Na 0.016 0.331 0.339
Au1 Au 0.500 0.000 0.500
Au2 Au 0.500 0.500 0.000
S1 S 0.003 0.709 0.344
S2 S 0.280 0.239 0.040
S3 S 0.356 0.274 0.617
S4 S 0.379 0.783 0.919
S5 S 0.496 0.722 0.623
# formation energy without anion corrections = -0.120 eV/atom
# calculated total energy = -52.1 eV for the cell shown

---

Computed theoretical density (kg/m³) in order:
4971, 4008, 3148